1.
# PBE CuSnOsC, optimized geometry
# - ΔE_f (meV per atom) = 617
# - total magnetization (μB per formula unit) = 0.00
# - E above lowest polymorph (eV per formula unit) = 0.89
data_CuSnOsC
_chemical_formula_sum 'Cu1 Sn1 Os1 C1'
_space_group_name_H-M_alt 'P m m 2'
_space_group_IT_number 25
_cell_length_a 3.446
_cell_length_b 3.887
_cell_length_c 4.760
_cell_angle_alpha 90.00
_cell_angle_beta 90.00
_cell_angle_gamma 90.00
loop_
_space_group_symop_operation_xyz
'x,y,z'
'-x,-y,z'
'-x,y,z'
'x,-y,z'
loop_
_atom_site_label
_atom_site_type_symbol
_atom_site_fract_x
_atom_site_fract_y
_atom_site_fract_z
_atom_site_occupancy
Cu1 Cu 0.000 0.000 0.000 1
Sn1 Sn 0.000 0.500 0.631 1
Os1 Os 0.500 0.500 0.178 1
C1 C 0.500 0.000 0.215 1

---

2.
# PBE TbPuMn2, optimized geometry
# - ΔE_f (meV per atom) = 67
# - total magnetization (μB per formula unit) = 0.04
data_TbPuMn2
_chemical_formula_sum 'Tb1 Pu1 Mn2'
_space_group_name_H-M_alt 'P 4/m m m'
_space_group_IT_number 123
_space_group_name_Hall '-P 4 2'
_cell_length_a 3.409
_cell_length_b 3.409
_cell_length_c 6.802
_cell_angle_alpha 90.00
_cell_angle_beta 90.00
_cell_angle_gamma 90.00
loop_
_atom_site_label
_atom_site_type_symbol
_atom_site_fract_x
_atom_site_fract_y
_atom_site_fract_z
_atom_site_occupancy
Tb1 Tb 0.000 0.000 0.000 1
Pu1 Pu 0.000 0.000 0.500 1
Mn1 Mn 0.500 0.500 0.294 1

---

3.
# PBE Al3Si2Ni3, optimized geometry
# - total magnetization (μB per formula unit) = 0.00
# - raw formation energy (kJ per mole of atoms) = -36.33
# - E above lowest polymorph (eV per formula unit) = 0.04
data_Al3Si2Ni3
_chemical_formula_sum 'Al6 Si4 Ni6'
_space_group_name_H-M_alt 'P 63/m c m'
_space_group_IT_number 193
_space_group_name_Hall '-P 6c 2'
_cell_length_a 7.0429
_cell_length_b 7.0429
_cell_length_c 4.7470
_cell_angle_alpha 90.00
_cell_angle_beta 90.00
_cell_angle_gamma 120.00
loop_
_atom_site_label
_atom_site_type_symbol
_atom_site_fract_x
_atom_site_fract_y
_atom_site_fract_z
_atom_site_occupancy
Al1 Al 0.0000 0.2398 0.2500 1
Si1 Si 0.3333 0.6667 0.0000 1
Ni1 Ni 0.0000 0.4101 0.7500 1

---

4.
# PBE Nb2InTcSn, optimized geometry
# - ΔE_f (meV per atom) = 782
# - total magnetization (μB per formula unit) = 0.00
data_Nb2InTcSn
_chemical_formula_sum 'Nb2 In1 Tc1 Sn1'
_space_group_name_H-M_alt 'P 4/m m m'
_space_group_IT_number 123
_space_group_name_Hall '-P 4 2'
_cell_length_a 4.879
_cell_length_b 4.879
_cell_length_c 5.056
_cell_angle_alpha 90.00
_cell_angle_beta 90.00
_cell_angle_gamma 90.00
loop_
_atom_site_label
_atom_site_type_symbol
_atom_site_fract_x
_atom_site_fract_y
_atom_site_fract_z
_atom_site_occupancy
Nb1 Nb 0.000 0.500 0.000 1
In1 In 0.000 0.000 0.500 1
Tc1 Tc 0.500 0.500 0.000 1
Sn1 Sn 0.500 0.500 0.500 1

---

5.
# PBE ScCrGa2C, optimized geometry
# - ΔE_f (meV per atom) = 2235
# - total magnetization (μB per formula unit) = 3.72
data_ScCrGa2C
_chemical_formula_sum 'Sc1 Cr1 Ga2 C1'
_space_group_name_H-M_alt 'P 4/m m m'
_space_group_IT_number 123
_space_group_name_Hall '-P 4 2'
_cell_length_a 5.159
_cell_length_b 5.159
_cell_length_c 4.584
_cell_angle_alpha 90.00
_cell_angle_beta 90.00
_cell_angle_gamma 90.00
loop_
_atom_site_label
_atom_site_type_symbol
_atom_site_fract_x
_atom_site_fract_y
_atom_site_fract_z
_atom_site_occupancy
Sc1 Sc 0.000 0.000 0.000 1
Cr1 Cr 0.000 0.000 0.500 1
Ga1 Ga 0.000 0.500 0.000 1
C1 C 0.500 0.500 0.500 1

---

6.
# PBE LiGaOs3, optimized geometry
# - ΔE_f (meV per atom) = 1878
# - total magnetization (μB per formula unit) = 2.26
# - E above lowest polymorph (eV per formula unit) = 2.50
data_LiGaOs3
_chemical_formula_sum 'Li1 Ga1 Os3'
_space_group_name_H-M_alt 'P m -3 m'
_space_group_IT_number 221
_space_group_name_Hall '-P 4 2 3'
_cell_length_a 4.560
_cell_length_b 4.560
_cell_length_c 4.560
_cell_angle_alpha 90.00
_cell_angle_beta 90.00
_cell_angle_gamma 90.00
loop_
_atom_site_label
_atom_site_type_symbol
_atom_site_fract_x
_atom_site_fract_y
_atom_site_fract_z
_atom_site_occupancy
Li1 Li 0.000 0.000 0.000 1
Ga1 Ga 0.500 0.500 0.500 1
Os1 Os 0.000 0.500 0.500 1

---

Result set for electronic total energy: -6.521; -9.258; -5.304; -6.667; -4.012; -5.848 eV/atom, one per record in the order listed.
Result set for V: 64; 79; 204; 120; 122; 95 Å³ per cell, one per record in the order listed.
Result set for DOS(E_F): 1.81; 5.56; 2.11; 5.05; 4.92; 6.54 states/eV/f.u., one per record in the order listed.